Record 1
First-principles (PBE-GGA) data for an optimized crystal structure of MnGa2Sn2, as listed in Alexandria.

Geometry as CIF:
```
data_MnGa2Sn2
_chemical_formula_sum 'Mn2 Ga4 Sn4'
_cell_length_a 6.7510
_cell_length_b 6.7510
_cell_length_c 4.6953
_cell_angle_alpha 90.00
_cell_angle_beta 90.00
_cell_angle_gamma 90.00
_symmetry_space_group_name_H-M 'P 4/m b m'
_symmetry_Int_Tables_number 127
_symmetry_space_group_name_Hall '-P 4 2ab'
loop_
_atom_site_label
_atom_site_type_symbol
_atom_site_fract_x
_atom_site_fract_y
_atom_site_fract_z
_atom_site_occupancy
Mn1 Mn 0.0000 0.0000 0.0000 1
Ga1 Ga 0.1387 0.3613 0.0000 1
Sn1 Sn 0.1766 0.6766 0.5000 1
```

Values from the calculation:
Formation energy ... 180.6 meV/atom
Energy above the lowest structure with this stoichiometry ... 0.0 kJ/mol of atoms

Record 2
First-principles (PBE-GGA) data for an optimized crystal structure of MnGaSn, as listed in Alexandria.

Geometry as CIF:
```
data_MnGaSn
_chemical_formula_sum 'Mn4 Ga4 Sn4'
_cell_length_a 6.2275
_cell_length_b 6.2275
_cell_length_c 6.2275
_cell_angle_alpha 90.00
_cell_angle_beta 90.00
_cell_angle_gamma 90.00
_symmetry_space_group_name_H-M 'F -4 3 m'
_symmetry_Int_Tables_number 216
_symmetry_space_group_name_Hall 'F -4 2 3'
loop_
_atom_site_label
_atom_site_type_symbol
_atom_site_fract_x
_atom_site_fract_y
_atom_site_fract_z
_atom_site_occupancy
Mn1 Mn 0.0000 0.0000 0.0000 1
Ga1 Ga 0.2500 0.2500 0.2500 1
Sn1 Sn 0.2500 0.2500 0.7500 1
```

Values from the calculation:
Formation energy ... 98.9 meV/atom
Energy above the lowest structure with this stoichiometry ... 12.1 kJ/mol of atoms

Record 3
First-principles (PBE-GGA) data for an optimized crystal structure of MnGa2Sn2, as listed in Alexandria.

Geometry as CIF:
```
data_MnGa2Sn2
_chemical_formula_sum 'Mn1 Ga2 Sn2'
_cell_length_a 5.2496
_cell_length_b 5.2496
_cell_length_c 5.6744
_cell_angle_alpha 90.00
_cell_angle_beta 90.00
_cell_angle_gamma 90.00
_symmetry_space_group_name_H-M 'P 4/m m m'
_symmetry_Int_Tables_number 123
_symmetry_space_group_name_Hall '-P 4 2'
loop_
_atom_site_label
_atom_site_type_symbol
_atom_site_fract_x
_atom_site_fract_y
_atom_site_fract_z
_atom_site_occupancy
Mn1 Mn 0.0000 0.0000 0.0000 1
Ga1 Ga 0.0000 0.5000 0.5000 1
Sn1 Sn 0.5000 0.5000 0.0000 1
Sn2 Sn 0.5000 0.5000 0.5000 1
```

Values from the calculation:
Formation energy ... 888.4 meV/atom
Energy above the lowest structure with this stoichiometry ... 68.3 kJ/mol of atoms

Record 4
First-principles (PBE-GGA) data for an optimized crystal structure of SrMnGaSn2, as listed in Alexandria.

Geometry as CIF:
```
data_SrMnGaSn2
_chemical_formula_sum 'Sr1 Mn1 Ga1 Sn2'
_cell_length_a 5.0901
_cell_length_b 5.0901
_cell_length_c 4.8346
_cell_angle_alpha 90.00
_cell_angle_beta 90.00
_cell_angle_gamma 90.00
_symmetry_space_group_name_H-M 'P 4/m m m'
_symmetry_Int_Tables_number 123
_symmetry_space_group_name_Hall '-P 4 2'
loop_
_atom_site_label
_atom_site_type_symbol
_atom_site_fract_x
_atom_site_fract_y
_atom_site_fract_z
_atom_site_occupancy
Sr1 Sr 0.0000 0.0000 0.0000 1
Mn1 Mn 0.5000 0.5000 0.5000 1
Ga1 Ga 0.5000 0.5000 0.0000 1
Sn1 Sn 0.0000 0.5000 0.5000 1
```

Values from the calculation:
Formation energy ... -172.2 meV/atom

Record 5
First-principles (PBE-GGA) data for an optimized crystal structure of SrMnGa2Sn, as listed in Alexandria.

Geometry as CIF:
```
data_SrMnGa2Sn
_chemical_formula_sum 'Sr1 Mn1 Ga2 Sn1'
_cell_length_a 4.7567
_cell_length_b 4.7567
_cell_length_c 4.9698
_cell_angle_alpha 90.00
_cell_angle_beta 90.00
_cell_angle_gamma 90.00
_symmetry_space_group_name_H-M 'P 4/m m m'
_symmetry_Int_Tables_number 123
_symmetry_space_group_name_Hall '-P 4 2'
loop_
_atom_site_label
_atom_site_type_symbol
_atom_site_fract_x
_atom_site_fract_y
_atom_site_fract_z
_atom_site_occupancy
Sr1 Sr 0.0000 0.0000 0.0000 1
Mn1 Mn 0.5000 0.5000 0.5000 1
Ga1 Ga 0.0000 0.5000 0.5000 1
Sn1 Sn 0.5000 0.5000 0.0000 1
```

Values from the calculation:
Formation energy ... -234.6 meV/atom

Record 6
First-principles (PBE-GGA) data for an optimized crystal structure of TaMnGa2Sn, as listed in Alexandria.

Geometry as CIF:
```
data_TaMnGa2Sn
_chemical_formula_sum 'Ta1 Mn1 Ga2 Sn1'
_cell_length_a 4.8947
_cell_length_b 4.8947
_cell_length_c 4.8225
_cell_angle_alpha 90.00
_cell_angle_beta 90.00
_cell_angle_gamma 90.00
_symmetry_space_group_name_H-M 'P 4/m m m'
_symmetry_Int_Tables_number 123
_symmetry_space_group_name_Hall '-P 4 2'
loop_
_atom_site_label
_atom_site_type_symbol
_atom_site_fract_x
_atom_site_fract_y
_atom_site_fract_z
_atom_site_occupancy
Ta1 Ta 0.0000 0.0000 0.0000 1
Mn1 Mn 0.5000 0.5000 0.0000 1
Ga1 Ga 0.0000 0.5000 0.5000 1
Sn1 Sn 0.5000 0.5000 0.5000 1
```

Values from the calculation:
Formation energy ... 1775.3 meV/atom

Record 7
First-principles (PBE-GGA) data for an optimized crystal structure of MnTl2GaSn, as listed in Alexandria.

Geometry as CIF:
```
data_MnTl2GaSn
_chemical_formula_sum 'Mn1 Tl2 Ga1 Sn1'
_cell_length_a 5.8925
_cell_length_b 5.8925
_cell_length_c 5.2311
_cell_angle_alpha 90.00
_cell_angle_beta 90.00
_cell_angle_gamma 90.00
_symmetry_space_group_name_H-M 'P 4/m m m'
_symmetry_Int_Tables_number 123
_symmetry_space_group_name_Hall '-P 4 2'
loop_
_atom_site_label
_atom_site_type_symbol
_atom_site_fract_x
_atom_site_fract_y
_atom_site_fract_z
_atom_site_occupancy
Mn1 Mn 0.0000 0.0000 0.0000 1
Tl1 Tl 0.0000 0.5000 0.5000 1
Ga1 Ga 0.5000 0.5000 0.0000 1
Sn1 Sn 0.5000 0.5000 0.5000 1
```

Values from the calculation:
Formation energy ... 851.1 meV/atom

Record 8
First-principles (PBE-GGA) data for an optimized crystal structure of MnTlGa2Sn, as listed in Alexandria.

Geometry as CIF:
```
data_MnTlGa2Sn
_chemical_formula_sum 'Mn1 Tl1 Ga2 Sn1'
_cell_length_a 4.7772
_cell_length_b 4.7772
_cell_length_c 4.9650
_cell_angle_alpha 90.00
_cell_angle_beta 90.00
_cell_angle_gamma 90.00
_symmetry_space_group_name_H-M 'P 4/m m m'
_symmetry_Int_Tables_number 123
_symmetry_space_group_name_Hall '-P 4 2'
loop_
_atom_site_label
_atom_site_type_symbol
_atom_site_fract_x
_atom_site_fract_y
_atom_site_fract_z
_atom_site_occupancy
Mn1 Mn 0.0000 0.0000 0.0000 1
Tl1 Tl 0.5000 0.5000 0.5000 1
Ga1 Ga 0.0000 0.5000 0.0000 1
Sn1 Sn 0.0000 0.0000 0.5000 1
```

Values from the calculation:
Formation energy ... 81.8 meV/atom

Q: Which value of formation energy does entry 4 give?
A: -172.2 meV/atom

Q: The highest formation energy belongs to which entry?
A: TaMnGa2Sn